Record 1
The following is a DFT calculation (PBE) of an optimized crystal structure of Pt3Se.

* space group: Pmmm (47)
* electronic total energy: -5.260 eV/atom

Cell: 2.857 3.433 6.681 Å, 90.00 90.00 90.00°
Element x y z (fractional)
1 Pt 0.000 0.000 0.000
2 Pt 0.500 0.500 0.255
3 Pt 0.500 0.500 0.745
4 Se 0.000 0.000 0.500

***

Record 2
The following is a DFT calculation (PBE) of an optimized crystal structure of PtSe3.

* space group: Cmcm (63)
* electronic total energy: -3.878 eV/atom

Cell: 7.738 12.366 3.903 Å, 90.00 90.00 90.00°
Element x y z (fractional)
1 Pt 0.000 0.076 0.250
2 Pt 0.000 0.924 0.750
3 Pt 0.500 0.424 0.750
4 Pt 0.500 0.576 0.250
5 Se 0.000 0.432 0.250
6 Se 0.000 0.568 0.750
7 Se 0.236 0.326 0.750
8 Se 0.236 0.674 0.250
9 Se 0.264 0.174 0.250
10 Se 0.264 0.826 0.750
11 Se 0.500 0.068 0.750
12 Se 0.500 0.932 0.250
13 Se 0.736 0.174 0.250
14 Se 0.736 0.826 0.750
15 Se 0.764 0.326 0.750
16 Se 0.764 0.674 0.250

***

Record 3
The following is a DFT calculation (PBE) of an optimized crystal structure of PtSe3.

* space group: Cmmm (65)
* electronic total energy: -4.235 eV/atom

Cell: 5.297 8.030 3.799 Å, 90.00 90.00 90.00°
Element x y z (fractional)
1 Pt 0.000 0.000 0.000
2 Pt 0.500 0.500 0.000
3 Se 0.000 0.211 0.500
4 Se 0.000 0.500 0.000
5 Se 0.000 0.789 0.500
6 Se 0.500 0.000 0.000
7 Se 0.500 0.289 0.500
8 Se 0.500 0.711 0.500

***

Record 4
The following is a DFT calculation (PBE) of an optimized crystal structure of PtSe.

* space group: P-6m2 (187)
* electronic total energy: -4.589 eV/atom

Cell: 3.756 3.756 3.160 Å, 90.00 90.00 120.00°
Element x y z (fractional)
1 Pt 0.000 0.000 0.000
2 Se 0.667 0.333 0.500